# K2MnI2

Crystalline K2MnI2 at its relaxed geometry (GGA-PBE, Alexandria via LeMat-Bulk).

Values from the calculation:
- Raw formation energy: -0.3365 eV/atom
- Symmetry: I4/mmm, No. 139
- Fermi-level density of states: 0.0 states/eV/cell
- Size of the total moment: 5.00 μB per cell

Cell: 6.867 6.867 8.201 Å, 65.25 65.25 90.00°
Element x y z (fractional)
1 I 0.750 0.250 0.500
2 I 0.250 0.750 0.500
3 K 0.285 0.285 0.431
4 K 0.715 0.715 0.569
5 Mn 0.000 0.000 0.000

# TiVSeN2

Crystalline TiVSeN2 at its relaxed geometry (GGA-PBE, Alexandria via LeMat-Bulk).

Values from the calculation:
- Raw formation energy: 0.0697 eV/atom
- Symmetry: P4/mmm, No. 123
- Fermi-level density of states: 4.2 states/eV/cell
- Size of the total moment: 0.00 μB per cell

Cell: 3.753 3.753 4.990 Å, 90.00 90.00 90.00°
Element x y z (fractional)
1 N 0.000 0.500 0.000
2 N 0.500 0.000 0.000
3 Ti 0.500 0.500 0.500
4 Se 0.000 0.000 0.500
5 V 0.000 0.000 0.000

# AcCuAsPt

Crystalline AcCuAsPt at its relaxed geometry (GGA-PBE, Alexandria via LeMat-Bulk).

Values from the calculation:
- Symmetry: F-43m, No. 216
- Fermi-level density of states: 2.6 states/eV/cell
- Size of the total moment: 0.00 μB per cell
- ΔE_f: -0.357 eV/atom

Cell: 4.956 4.956 4.956 Å, 60.00 60.00 60.00°
Element x y z (fractional)
1 Ac 0.500 0.500 0.500
2 Cu 0.250 0.250 0.250
3 As 0.000 0.000 0.000
4 Pt 0.750 0.750 0.750